No. 1
A relaxed structure of In6GaAu10, computed with PBE.

Geometry as POSCAR:
```
In6GaAu10
1.0
-3.075 0.304 6.741
-2.284 -7.166 -0.719
6.758 1.527 3.014
In Au Ga
6 10 1
direct
0.733 0.578 0.000
0.733 0.422 0.422
0.267 0.422 0.000
0.733 0.000 0.578
0.267 0.578 0.578
0.267 0.000 0.422
0.835 0.775 0.775
0.500 0.667 0.333
0.500 0.333 0.667
0.165 0.775 0.000
0.165 0.225 0.225
0.835 0.000 0.225
0.000 0.667 0.333
0.835 0.225 0.000
0.165 0.000 0.775
0.000 0.333 0.667
0.500 0.000 0.000
```

Properties
E_tot = -3.160 eV/atom

---

No. 2
A relaxed structure of Li3Cu, computed with PBE.

Geometry as POSCAR:
```
Li3Cu
1.0
2.791 0.062 0.000
-0.055 2.791 0.000
0.000 0.000 8.193
Li Cu
3 1
direct
0.500 0.500 0.210
0.500 0.500 0.790
0.000 0.000 0.500
0.000 0.000 0.000
```

Properties
E_tot = -2.455 eV/atom

---

No. 3
A relaxed structure of Ce2SmIn, computed with PBE.

Geometry as POSCAR:
```
Ce2SmIn
1.0
5.109 0.000 0.000
0.000 4.718 0.000
0.000 0.000 4.718
Sm Ce In
1 2 1
direct
0.500 0.000 0.000
0.000 0.500 0.000
0.000 0.000 0.500
0.500 0.500 0.500
```

Properties
Excess energy over the best structure of this formula in the dataset = 9.5 meV per atom

---

No. 4
A relaxed structure of MgCdIn14, computed with PBE.

Geometry as POSCAR:
```
MgCdIn14
1.0
6.804 -0.368 0.000
-0.339 6.805 0.000
0.000 0.000 9.170
In Cd Mg
14 1 1
direct
0.375 0.875 0.000
0.623 0.623 0.744
0.122 0.628 0.253
0.875 0.875 0.000
0.875 0.375 0.000
0.127 0.127 0.256
0.875 0.375 0.500
0.122 0.628 0.747
0.628 0.122 0.253
0.127 0.127 0.744
0.375 0.875 0.500
0.628 0.122 0.747
0.375 0.375 0.000
0.623 0.623 0.256
0.375 0.375 0.500
0.875 0.875 0.500
```

Properties
E_tot = -2.541 eV/atom

---

No. 5
A relaxed structure of SbAsRu3, computed with PBE.

Geometry as POSCAR:
```
SbAsRu3
1.0
4.839 0.000 0.000
0.000 4.839 0.000
0.000 0.000 4.839
Sb As Ru
1 1 3
direct
0.000 0.000 0.000
0.500 0.500 0.500
0.000 0.000 0.500
0.000 0.500 0.000
0.500 0.000 0.000
```

Properties
Formation energy without anion corrections = 1657 meV per atom
Excess energy over the best structure of this formula in the dataset = 861.3 meV per atom

---

No. 6
A relaxed structure of ReNF3, computed with PBE.

Geometry as POSCAR:
```
ReNF3
1.0
-1.083 -2.621 -2.841
2.438 -2.753 1.611
-3.000 -1.290 2.334
F Re N
3 1 1
direct
0.500 0.000 0.000
0.000 0.500 0.000
0.000 0.000 0.500
0.500 0.500 0.500
0.000 0.000 0.000
```

Properties
Formation energy without anion corrections = 1143 meV per atom
Excess energy over the best structure of this formula in the dataset = 776.8 meV per atom

---

No. 7
A relaxed structure of CaEr5N6, computed with PBE.

Geometry as POSCAR:
```
CaEr5N6
1.0
-5.742 -0.678 -1.457
4.252 -2.323 -3.475
0.310 -3.768 4.606
Er N Ca
5 6 1
direct
0.333 0.667 0.000
0.500 0.500 0.500
0.166 0.834 0.500
0.667 0.333 0.000
0.834 0.166 0.500
0.915 0.569 0.745
0.569 0.915 0.745
0.741 0.741 0.257
0.259 0.259 0.743
0.085 0.431 0.255
0.431 0.085 0.255
0.000 0.000 0.000
```

Properties
Formation energy without anion corrections = -1561 meV per atom

---

No. 8
A relaxed structure of PCICl2, computed with PBE.

Geometry as POSCAR:
```
PCICl2
1.0
4.335 0.000 0.000
0.000 4.335 0.000
0.000 0.000 5.005
P I Cl C
1 1 2 1
direct
0.000 0.000 0.500
0.500 0.500 0.500
0.500 0.000 0.000
0.000 0.500 0.000
0.000 0.000 0.000
```

Properties
Formation energy without anion corrections = 1223 meV per atom
Excess energy over the best structure of this formula in the dataset = 0.0 meV per atom

---

No. 9
A relaxed structure of NiHgPb2I, computed with PBE.

Geometry as POSCAR:
```
NiHgPb2I
1.0
-3.922 3.225 -1.273
-3.277 -4.076 -0.231
-1.135 0.624 5.076
I Ni Pb Hg
1 1 2 1
direct
0.500 0.500 0.500
0.000 0.000 0.000
0.500 0.000 0.000
0.000 0.500 0.000
0.000 0.000 0.500
```

Properties
Formation energy without anion corrections = -50 meV per atom

---

No. 10
A relaxed structure of CaAcPmCd, computed with PBE.

Geometry as POSCAR:
```
CaAcPmCd
1.0
-3.640 4.509 -0.095
-3.646 0.688 -4.453
-5.684 -0.848 0.751
Cd Ca Ac Pm
1 1 1 1
direct
0.250 0.250 0.250
0.000 0.000 0.000
0.750 0.750 0.750
0.500 0.500 0.500
```

Properties
Excess energy over the best structure of this formula in the dataset = 211.2 meV per atom

---

No. 11
A relaxed structure of TlCdSn3, computed with PBE.

Geometry as POSCAR:
```
TlCdSn3
1.0
5.586 0.000 0.000
0.000 5.586 0.000
0.000 0.000 5.586
Tl Sn Cd
1 3 1
direct
0.500 0.500 0.500
0.000 0.000 0.500
0.000 0.500 0.000
0.500 0.000 0.000
0.000 0.000 0.000
```

Properties
Excess energy over the best structure of this formula in the dataset = 396.4 meV per atom

---

No. 12
A relaxed structure of K2TeSe2, computed with PBE.

Geometry as POSCAR:
```
K2TeSe2
1.0
7.920 0.000 0.000
0.000 7.920 0.000
0.000 0.000 4.916
K Se Te
4 4 2
direct
0.351 0.149 0.500
0.649 0.851 0.500
0.149 0.649 0.500
0.851 0.351 0.500
0.333 0.833 0.000
0.833 0.667 0.000
0.167 0.333 0.000
0.667 0.167 0.000
0.500 0.500 0.000
0.000 0.000 0.000
```

Properties
Formation energy without anion corrections = -717 meV per atom
Excess energy over the best structure of this formula in the dataset = 13.2 meV per atom

---

No. 13
A relaxed structure of Rb3Ce3ErTe8, computed with PBE.

Geometry as POSCAR:
```
Rb3Ce3ErTe8
1.0
-0.776 9.047 1.003
-7.407 -5.313 0.590
6.480 -0.311 7.821
Rb Er Te Ce
3 1 8 3
direct
0.000 0.000 0.000
0.000 0.500 0.000
0.500 0.500 0.000
0.000 0.000 0.500
0.738 0.967 0.697
0.229 0.967 0.697
0.771 0.033 0.303
0.262 0.033 0.303
0.735 0.469 0.704
0.265 0.531 0.296
0.230 0.459 0.697
0.770 0.541 0.303
0.000 0.500 0.500
0.500 0.500 0.500
0.500 0.000 0.500
```

Properties
Formation energy without anion corrections = -1331 meV per atom

---

No. 14
A relaxed structure of Mg2ScZn, computed with PBE.

Geometry as POSCAR:
```
Mg2ScZn
1.0
3.174 0.000 0.000
1.587 2.749 0.000
1.587 0.916 9.834
Mg Zn Sc
2 1 1
direct
0.077 0.077 0.770
0.257 0.257 0.230
0.666 0.666 0.001
0.501 0.501 0.498
```

Properties
E_tot = -2.677 eV/atom

---

No. 15
A relaxed structure of TmPuAg2Hg4, computed with PBE.

Geometry as POSCAR:
```
TmPuAg2Hg4
1.0
-2.781 -4.169 -0.638
-1.415 -2.730 4.008
-8.258 2.180 1.754
Hg Ag Pu Tm
4 2 1 1
direct
0.377 0.377 0.869
0.128 0.128 0.617
0.623 0.623 0.131
0.872 0.872 0.383
0.750 0.750 0.750
0.250 0.250 0.250
0.000 0.000 0.000
0.500 0.500 0.500
```

Properties
E_tot = -3.390 eV/atom

---

No. 16
A relaxed structure of LaBPdRh2, computed with PBE.

Geometry as POSCAR:
```
LaBPdRh2
1.0
-1.785 -3.857 -0.687
2.568 -1.722 2.995
-2.977 0.838 3.034
Pd Rh La B
1 2 1 1
direct
0.000 0.000 0.500
0.500 0.000 0.000
0.000 0.500 0.000
0.500 0.500 0.500
0.000 0.000 0.000
```

Properties
E_tot = -7.021 eV/atom

---

No. 17
A relaxed structure of P2AuBr, computed with PBE.

Geometry as POSCAR:
```
P2AuBr
1.0
5.389 -0.021 0.008
1.111 5.273 -0.008
-2.154 -3.982 2.922
Br P Au
1 2 1
direct
0.250 0.750 0.500
0.533 0.533 0.000
0.967 0.967 0.000
0.750 0.250 0.500
```

Properties
Formation energy without anion corrections = 679 meV per atom
Excess energy over the best structure of this formula in the dataset = 567.2 meV per atom

---

No. 18
A relaxed structure of Pr4SmTe6, computed with PBE.

Geometry as POSCAR:
```
Pr4SmTe6
1.0
-1.327 -0.315 4.174
-1.075 -6.976 -3.178
21.244 -6.141 6.290
Te Pr Sm
12 8 2
direct
0.500 0.000 0.500
0.059 0.119 0.332
0.500 0.000 0.000
0.941 0.881 0.668
0.690 0.380 0.750
0.941 0.881 0.832
0.310 0.620 0.250
0.231 0.461 0.906
0.769 0.539 0.094
0.231 0.461 0.594
0.769 0.539 0.406
0.059 0.119 0.168
0.415 0.830 0.373
0.415 0.830 0.127
0.856 0.712 0.537
0.585 0.170 0.627
0.856 0.712 0.963
0.144 0.288 0.037
0.585 0.170 0.873
0.144 0.288 0.463
0.344 0.688 0.750
0.656 0.312 0.250
```

Properties
Formation energy without anion corrections = -1437 meV per atom

---

N(E_F) per entry: 4.0 1.0 11.0 9.0 6.9 1.1 6.2 3.6 2.1 4.8 3.9 1.7 13.3 3.1 17.6 0.8 2.4 7.3 states/eV per cell